1.
# Ca2AcHgRh | the Alexandria database | PBE | relaxed
data_Ca2AcHgRh
_chemical_formula_sum 'Ca2 Ac1 Hg1 Rh1'
_space_group_name_H-M_alt 'P 1'
_space_group_IT_number 1
_cell_length_a 5.503
_cell_length_b 5.503
_cell_length_c 5.724
_cell_angle_alpha 90.00
_cell_angle_beta 90.00
_cell_angle_gamma 90.00
loop_
_space_group_symop_operation_xyz
'x,y,z'
loop_
_atom_site_label
_atom_site_fract_x
_atom_site_fract_y
_atom_site_fract_z
_atom_site_occupancy
Ca1 0.000 0.500 0.000 1
Ca2 0.500 0.000 0.000 1
Ac1 0.000 0.000 0.511 1
Hg1 0.500 0.500 0.589 1
Rh1 0.000 0.000 0.017 1
# ΔH_f (0 K): -349 meV/atom

=====

2.
# NaHfIrC2 | the Alexandria database | PBE | relaxed
data_NaHfIrC2
_chemical_formula_sum 'Na1 Hf1 Ir1 C2'
_space_group_name_H-M_alt 'P 1'
_space_group_IT_number 1
_cell_length_a 4.030
_cell_length_b 4.030
_cell_length_c 5.287
_cell_angle_alpha 90.00
_cell_angle_beta 90.00
_cell_angle_gamma 90.00
loop_
_space_group_symop_operation_xyz
'x,y,z'
loop_
_atom_site_label
_atom_site_fract_x
_atom_site_fract_y
_atom_site_fract_z
_atom_site_occupancy
Na1 0.000 0.000 0.000 1
Hf1 0.500 0.500 0.000 1
Ir1 0.500 0.500 0.500 1
C1 0.000 0.500 0.500 1
C2 0.500 0.000 0.500 1
# ΔH_f (0 K): 1520 meV/atom

=====

3.
# CeTa4S8 | the Alexandria database | PBE | relaxed
data_CeTa4S8
_chemical_formula_sum 'Ce1 Ta4 S8'
_space_group_name_H-M_alt 'P 1'
_space_group_IT_number 1
_cell_length_a 7.302
_cell_length_b 7.302
_cell_length_c 7.302
_cell_angle_alpha 60.00
_cell_angle_beta 60.00
_cell_angle_gamma 60.00
loop_
_space_group_symop_operation_xyz
'x,y,z'
loop_
_atom_site_label
_atom_site_fract_x
_atom_site_fract_y
_atom_site_fract_z
_atom_site_occupancy
Ce1 0.000 0.000 0.000 1
Ta1 0.188 0.604 0.604 1
Ta2 0.604 0.188 0.604 1
Ta3 0.604 0.604 0.188 1
Ta4 0.604 0.604 0.604 1
S1 0.370 0.370 0.370 1
S2 0.370 0.370 0.889 1
S3 0.370 0.889 0.370 1
S4 0.438 0.854 0.854 1
S5 0.854 0.438 0.854 1
S6 0.854 0.854 0.438 1
S7 0.854 0.854 0.854 1
S8 0.889 0.370 0.370 1
# Excess energy over the best structure of this formula in the dataset: 0.123 eV per atom
# Formation energy (no corrections): -1.089 eV/atom

=====

Number 1: energy -17.5 eV for the cell shown, N(E_F) 0.74 states/eV per atom, total moment 0.0 μB/f.u.. Number 2: energy -31.0 eV for the cell shown, N(E_F) 0.77 states/eV per atom, total moment 0.0 μB/f.u.. Number 3: energy -100.5 eV for the cell shown, N(E_F) 1.07 states/eV per atom, total moment 1.0 μB/f.u..